ScCdInCu, relaxed, DFT PBE-GGA; SG = F-43m (216); distance to the lowest polymorph of the same formula = 0.0 meV/atom
1.0
0.000 3.364 3.364
3.364 0.000 3.364
3.364 3.364 0.000
Sc Cd In Cu
1 1 1 1
Cartesian
0.000 0.000 0.000
1.682 1.682 1.682
3.364 3.364 3.364
5.047 5.047 5.047



LiInHg2, relaxed, DFT PBE-GGA; electronic total energy = -0.10612 Ry/atom; SG = F-43m (216)
1.0
0.000 3.580 3.580
3.580 0.000 3.580
3.580 3.580 0.000
Li In Hg
1 1 2
Cartesian
0.000 0.000 0.000
5.370 5.370 5.370
1.790 1.790 1.790
3.580 3.580 3.580



HoAlPdAu, relaxed, DFT PBE-GGA; SG = P-3m1 (164); distance to the lowest polymorph of the same formula = 7.4 meV/atom
1.0
4.423 0.000 0.000
-2.211 3.830 0.000
0.000 0.000 9.162
Ho Al Pd Au
2 2 2 2
Cartesian
0.000 2.553 2.368
2.211 1.277 6.794
0.000 0.000 0.000
0.000 0.000 4.581
0.000 2.553 5.299
2.211 1.277 3.863
0.000 2.553 8.340
2.211 1.277 0.822



Number 1: V 19.04 Å³/atom. Number 2: V 22.95 Å³/atom. Number 3: V 19.40 Å³/atom.